# 1
A plane-wave DFT calculation with PBE-GGA was carried out for a relaxed structure of CoPd.

For the total energy, the calculation gives -4.990 eV/atom. The formation energy is 1159 meV per atom. The calculation puts the mass density at 5.58 g cm⁻³. As for the volume: 394 Å³/cell.

The structure belongs to space group I-43m (No. 217); the cell edges are 7.329, 7.329 and 7.329 Å and the angles 90.00°, 90.00° and 90.00°. Symmetry generates all atoms from Co at (0.116, 0.116, 0.116) and Pd at (0.200, 0.200, 0.800).

***

# 2
A plane-wave DFT calculation with PBE-GGA was carried out for a relaxed structure of Co3Pd5.

For the total energy, the calculation gives -5.873 eV/atom. The formation energy is 37 meV per atom. The calculation puts the mass density at 10.54 g cm⁻³. As for the volume: 112 Å³/cell.

The structure belongs to space group P4/mmm (No. 123); the cell edges are 2.727, 2.727 and 15.011 Å and the angles 90.00°, 90.00° and 90.00°. Symmetry generates all atoms from Co at (0.000, 0.000, 0.000), Co at (0.500, 0.500, 0.377), Pd at (0.000, 0.000, 0.259), Pd at (0.000, 0.000, 0.500) and Pd at (0.500, 0.500, 0.119).

***

# 3
A plane-wave DFT calculation with PBE-GGA was carried out for a relaxed structure of Co17Pd2.

For the total energy, the calculation gives -6.761 eV/atom. The formation energy is 144 meV per atom. The calculation puts the mass density at 8.88 g cm⁻³. As for the volume: 682 Å³/cell.

The structure belongs to space group R-3m (No. 166, hexagonal axes); the cell edges are 8.0707, 8.0707 and 12.0840 Å and the angles 90.00°, 90.00° and 120.00°. Symmetry generates all atoms from Co at (0.0000, 0.0000, 0.0974), Co at (0.0000, 0.2969, 0.0000), Co at (0.0000, 0.5000, 0.5000), Co at (0.0048, 0.5024, 0.1484) and Pd at (0.0000, 0.0000, 0.3308).

***

# 4
A plane-wave DFT calculation with PBE-GGA was carried out for a relaxed structure of Co2Pd3.

For the total energy, the calculation gives -5.907 eV/atom. The formation energy is 51 meV per atom. The calculation puts the mass density at 10.51 g cm⁻³. The energy relative to the lowest polymorph listed for this composition comes out at 0.00 eV/f.u. As for the volume: 207 Å³/cell.

The structure belongs to space group R-3m (No. 166, hexagonal axes); the cell edges are 2.7071, 2.7071 and 32.6344 Å and the angles 90.00°, 90.00° and 120.00°. Symmetry generates all atoms from Co at (0.0000, 0.0000, 0.1954), Pd at (0.0000, 0.0000, 0.0000) and Pd at (0.0000, 0.0000, 0.4061).

***

# 5
A plane-wave DFT calculation with PBE-GGA was carried out for a relaxed structure of CoPd7.

For the total energy, the calculation gives -5.417 eV/atom. The formation energy is 15 meV per atom. The calculation puts the mass density at 11.18 g cm⁻³. As for the volume: 239 Å³/cell.

The structure belongs to space group I4/mmm (No. 139); the cell edges are 3.904, 3.904 and 15.671 Å and the angles 90.00°, 90.00° and 90.00°. Symmetry generates all atoms from Co at (0.000, 0.000, 0.000), Pd at (0.000, 0.000, 0.250), Pd at (0.000, 0.000, 0.500) and Pd at (0.000, 0.500, 0.121).

***

# 6
A plane-wave DFT calculation with PBE-GGA was carried out for a relaxed structure of Co3Pd4.

For the total energy, the calculation gives -5.801 eV/atom. The formation energy is 212 meV per atom. The calculation puts the mass density at 9.87 g cm⁻³. The energy relative to the lowest polymorph listed for this composition comes out at 1.07 eV/f.u. As for the volume: 203 Å³/cell.

The structure belongs to space group I4/mmm (No. 139); the cell edges are 2.682, 2.682 and 28.194 Å and the angles 90.00°, 90.00° and 90.00°. Symmetry generates all atoms from Co at (0.000, 0.000, 0.000), Co at (0.000, 0.000, 0.225), Pd at (0.000, 0.000, 0.139) and Pd at (0.000, 0.000, 0.435).

***

# 7
A plane-wave DFT calculation with PBE-GGA was carried out for a relaxed structure of Co3Pd13.

For the total energy, the calculation gives -5.525 eV/atom. The formation energy is 26 meV per atom. The calculation puts the mass density at 11.01 g cm⁻³. As for the volume: 471 Å³/cell.

The structure belongs to space group Amm2 (No. 38); the cell edges are 7.674, 7.825 and 7.839 Å and the angles 90.00°, 90.00° and 90.00°. Symmetry generates all atoms from Co at (0.000, 0.000, 0.000), Co at (0.247, 0.000, 0.235), Pd at (0.000, 0.000, 0.484), Pd at (0.000, 0.239, 0.237), Pd at (0.243, 0.000, 0.742), Pd at (0.245, 0.245, 0.990), Pd at (0.500, 0.000, 0.487), Pd at (0.500, 0.000, 0.995) and Pd at (0.500, 0.244, 0.240).

***

# 8
A plane-wave DFT calculation with PBE-GGA was carried out for a relaxed structure of Pm5CoPd4.

For the total energy, the calculation gives -5.776 eV/atom. The formation energy is -613 meV per atom. The calculation puts the mass density at 8.85 g cm⁻³. As for the volume: 227 Å³/cell.

The structure belongs to space group P4/mmm (No. 123); the cell edges are 3.521, 3.521 and 18.309 Å and the angles 90.00°, 90.00° and 90.00°. Symmetry generates all atoms from Pm at (0.000, 0.000, 0.000), Pm at (0.000, 0.000, 0.203), Pm at (0.000, 0.000, 0.407), Co at (0.500, 0.500, 0.500), Pd at (0.500, 0.500, 0.102) and Pd at (0.500, 0.500, 0.303).

***

# 9
A plane-wave DFT calculation with PBE-GGA was carried out for a relaxed structure of Pm4Co3Pd.

For the total energy, the calculation gives -5.931 eV/atom. The formation energy is -242 meV per atom. The calculation puts the mass density at 8.05 g cm⁻³. As for the volume: 178 Å³/cell.

The structure belongs to space group Pmm2 (No. 25); the cell edges are 4.030, 4.048 and 10.922 Å and the angles 90.00°, 90.00° and 90.00°. Symmetry generates all atoms from Pm at (0.000, 0.000, 0.000), Pm at (0.000, 0.500, 0.488), Pm at (0.500, 0.000, 0.713), Pm at (0.500, 0.500, 0.209), Co at (0.000, 0.000, 0.301), Co at (0.500, 0.000, 0.406), Co at (0.500, 0.500, 0.938) and Pd at (0.000, 0.500, 0.781).

***

# 10
A plane-wave DFT calculation with PBE-GGA was carried out for a relaxed structure of Pm12Co6Pd.

For the total energy, the calculation gives -5.674 eV/atom. The formation energy is -156 meV per atom. The calculation puts the mass density at 7.66 g cm⁻³. As for the volume: 954 Å³/cell.

The structure belongs to space group Im-3 (No. 204); the cell edges are 9.843, 9.843 and 9.843 Å and the angles 90.00°, 90.00° and 90.00°. Symmetry generates all atoms from Pm at (0.000, 0.302, 0.193), Co at (0.000, 0.113, 0.500) and Pd at (0.000, 0.000, 0.000).

***

# 11
A plane-wave DFT calculation with PBE-GGA was carried out for a relaxed structure of Pm6Co2Pd.

For the total energy, the calculation gives -5.554 eV/atom. The formation energy is -231 meV per atom. The calculation puts the mass density at 7.84 g cm⁻³. As for the volume: 927 Å³/cell.

The structure belongs to space group Immm (No. 71); the cell edges are 9.610, 9.748 and 9.892 Å and the angles 90.00°, 90.00° and 90.00°. Symmetry generates all atoms from Pm at (0.000, 0.188, 0.238), Pm at (0.184, 0.500, 0.174), Pm at (0.221, 0.321, 0.500), Co at (0.000, 0.333, 0.000), Co at (0.000, 0.500, 0.386), Pd at (0.000, 0.000, 0.000) and Pd at (0.000, 0.000, 0.500).

***

# 12
A plane-wave DFT calculation with PBE-GGA was carried out for a relaxed structure of Pm6CoPd.

For the total energy, the calculation gives -5.235 eV/atom. The formation energy is -135 meV per atom. The calculation puts the mass density at 6.85 g cm⁻³. As for the volume: 502 Å³/cell.

The structure belongs to space group C2/m (No. 12); the cell edges are 6.913, 11.173 and 6.823 Å and the angles 90.00°, 107.71° and 90.00°. Symmetry generates all atoms from Pm at (0.221, 0.173, 0.242), Pm at (0.242, 0.500, 0.226), Co at (0.000, 0.000, 0.000) and Pd at (0.000, 0.500, 0.500).